Density functional theory data (PBE) for LiZrNiS3 after structural relaxation.

- space-group type = No. 11

abc: 7.421 3.521 8.179
angles: 90.00 100.76 90.00
Positions (direct):
Li1 0.144 0.250 0.154
Li2 0.856 0.750 0.846
Zr1 0.321 0.750 0.758
Zr2 0.679 0.250 0.242
Ni1 0.401 0.750 0.412
Ni2 0.599 0.250 0.588
S1 0.103 0.250 0.843
S2 0.277 0.250 0.500
S3 0.421 0.750 0.140
S4 0.579 0.250 0.860
S5 0.723 0.750 0.500
S6 0.897 0.750 0.157



Density functional theory data (PBE) for KSr2Se2 after structural relaxation.

- polymorph energy (0 for the lowest one) (meV/atom) = 0
- space-group type = No. 127

abc: 8.643 8.643 4.239
angles: 90.00 90.00 90.00
Positions (direct):
K1 0.000 0.000 0.000
K2 0.500 0.500 0.000
Sr1 0.152 0.348 0.500
Sr2 0.348 0.848 0.500
Sr3 0.652 0.152 0.500
Sr4 0.848 0.652 0.500
Se1 0.152 0.652 0.000
Se2 0.348 0.152 0.000
Se3 0.652 0.848 0.000
Se4 0.848 0.348 0.000



Number 1: formation energy from raw total energies -1.115 eV/atom. Number 2: formation energy from raw total energies -1.390 eV/atom.